RbNpP2N6: optimized geometry, GGA-PBE.

a = 5.4293 Å, b = 7.3886 Å, c = 7.3886 Å
α = 93.51°, β = 80.42°, γ = 80.42°
With the nearest neighbours (Å) after each atom.
Sites, in units of the cell vectors:
N  0.0995  0.5885  0.2382  1 P 1.67
P  0.1367  0.3596  0.2055  4 N 1.61-1.69
Rb  0.7500  0.0897  0.9103  6 N 2.84-2.94
N  0.2554  0.0077  0.7091  1 P 1.61
N  0.8287  0.3464  0.2759  2 P 1.67-1.69
N  0.3287  0.2759  0.3464  2 P 1.67-1.69
N  0.6713  0.7241  0.6536  2 P 1.67-1.69
N  0.7554  0.7091  0.0077  1 P 1.61
Rb  0.2500  0.9103  0.0897  6 N 2.84-2.94
N  0.5995  0.2382  0.5885  1 P 1.67
N  0.9005  0.4115  0.7618  1 P 1.67
N  0.7446  0.9923  0.2909  1 P 1.61
P  0.8633  0.6404  0.7945  4 N 1.61-1.69
P  0.3633  0.7945  0.6404  4 N 1.61-1.69
P  0.6367  0.2055  0.3596  4 N 1.61-1.69
N  0.4005  0.7618  0.4115  1 P 1.67
Np  0.7500  0.7002  0.2998  2 N 1.91
Np  0.2500  0.2998  0.7002  2 N 1.91
N  0.1713  0.6536  0.7241  2 P 1.67-1.69
N  0.2446  0.2909  0.9923  1 P 1.61

Calculated values
The calculation puts the total energy at -155.947 eV per cell. Its space-group type is C2/c (15). The uncorrected formation energy comes out at -7.59 kcal/mol of atoms.